DFT (PBE-GGA) results for a relaxed Ba2FeCl crystal.

Properties
N(E_F) in states/eV per atom: 0.734
Calculated total energy in eV/atom: -3.79
Energy above the most stable polymorph in this dataset in meV/atom: 189
Density in kg/m³: 3801

Lattice parameters (Å, degrees): 7.505 7.505 7.505 114.07 114.07 100.62
Element x y z (fractional)
Ba  0.123  0.125  0.498
Ba  0.375  0.877  0.002
Ba  0.627  0.625  0.502
Ba  0.875  0.373  0.998
Fe  0.000  0.000  0.000
Fe  0.750  0.250  0.500
Cl  0.250  0.750  0.500
Cl  0.500  0.500  0.000